Entry from Alexandria via LeMat-Bulk: an optimized crystal structure of Nd2Cu3Si2 (PBE).

The structure in POSCAR format:
```
Nd2Cu3Si2
1.0
5.259 -2.062 0.000
5.259 2.062 0.000
-2.574 0.000 5.973
Nd Cu Si
2 3 2
direct
0.152 0.152 0.257
0.848 0.848 0.743
0.398 0.398 0.086
0.500 0.500 0.500
0.602 0.602 0.914
0.136 0.136 0.734
0.864 0.864 0.266
```

Calculated values
M_tot: 0.00 μB per cell
Final energy: -5.083 eV per atom
Crystal system: monoclinic
E_form (uncorrected): -0.42 eV per atom